No. 1
# PBE-GGA CsKTe2, relaxed
data_CsKTe2
_chemical_formula_sum 'Cs2 K2 Te4'
_space_group_name_H-M_alt 'P 1'
_space_group_IT_number 1
_space_group_name_Hall 'P 1'
_cell_length_a 12.244
_cell_length_b 12.244
_cell_length_c 12.244
_cell_angle_alpha 151.09
_cell_angle_beta 151.09
_cell_angle_gamma 41.35
loop_
_atom_site_label
_atom_site_type_symbol
_atom_site_fract_x
_atom_site_fract_y
_atom_site_fract_z
Cs1 Cs 0.000 0.000 0.000
Cs2 Cs 0.750 0.250 0.500
K1 K 0.250 0.750 0.500
K2 K 0.500 0.500 0.000
Te1 Te 0.308 0.625 0.183
Te2 Te 0.375 0.558 0.683
Te3 Te 0.442 0.125 0.817
Te4 Te 0.875 0.692 0.317
# * energy relative to the lowest polymorph listed for this composition: 0.000 eV per atom
# * formation energy (no corrections): -706 meV per atom
# * density: 3.31 g/cm3

No. 2
# PBE-GGA CsK2Te6, relaxed
data_CsK2Te6
_chemical_formula_sum 'Cs1 K2 Te6'
_space_group_name_H-M_alt 'P 1'
_space_group_IT_number 1
_space_group_name_Hall 'P 1'
_cell_length_a 9.398
_cell_length_b 9.398
_cell_length_c 5.048
_cell_angle_alpha 95.88
_cell_angle_beta 95.88
_cell_angle_gamma 66.34
loop_
_atom_site_label
_atom_site_type_symbol
_atom_site_fract_x
_atom_site_fract_y
_atom_site_fract_z
Cs1 Cs 0.000 0.000 0.000
K1 K 0.327 0.327 0.837
K2 K 0.614 0.614 0.055
Te1 Te 0.029 0.553 0.286
Te2 Te 0.274 0.664 0.453
Te3 Te 0.388 0.915 0.595
Te4 Te 0.553 0.029 0.286
Te5 Te 0.664 0.274 0.453
Te6 Te 0.915 0.388 0.595
# * energy relative to the lowest polymorph listed for this composition: 0.043 eV per atom
# * formation energy (no corrections): -551 meV per atom
# * density: 4.00 g/cm3

No. 3
# PBE-GGA CsK2Te3, relaxed
data_CsK2Te3
_chemical_formula_sum 'Cs2 K4 Te6'
_space_group_name_H-M_alt 'P 1'
_space_group_IT_number 1
_space_group_name_Hall 'P 1'
_cell_length_a 7.579
_cell_length_b 7.579
_cell_length_c 10.629
_cell_angle_alpha 90.00
_cell_angle_beta 90.00
_cell_angle_gamma 71.80
loop_
_atom_site_label
_atom_site_type_symbol
_atom_site_fract_x
_atom_site_fract_y
_atom_site_fract_z
Cs1 Cs 0.088 0.912 0.750
Cs2 Cs 0.912 0.088 0.250
K1 K 0.313 0.313 0.000
K2 K 0.313 0.313 0.500
K3 K 0.687 0.687 0.000
K4 K 0.687 0.687 0.500
Te1 Te 0.017 0.558 0.250
Te2 Te 0.393 0.607 0.250
Te3 Te 0.442 0.983 0.250
Te4 Te 0.558 0.017 0.750
Te5 Te 0.607 0.393 0.750
Te6 Te 0.983 0.442 0.750
# * formation energy (no corrections): -755 meV per atom
# * density: 3.40 g/cm3